{"formula": "Cr2IrRh", "functional": "PBE-GGA", "state": "optimized geometry", "lattice": [[-1.8825, 1.8825, 3.6843], [1.8825, -1.8825, 3.6843], [1.8825, 1.8825, -3.6843]], "species": ["Cr", "Cr", "Ir", "Rh"], "fractional_positions": [[0.2500, 0.7500, 0.5000], [0.7500, 0.2500, 0.5000], [0.0000, 0.0000, 0.0000], [0.5000, 0.5000, 0.0000]], "dos_at_fermi_per_ev_atom": 0.761, "spacegroup": "I4/mmm", "e_tot_ev_per_cell": -35.95, "formation_energy_ev_per_atom": -0.123}